Density functional theory data (GGA-PBE) for a geometry-optimized Cd3In3Ga8 structure.

SG   Immm (71)
Uncorrected energy   -0.091 Ha/atom
ΔE_f   0.029 eV/atom
V   22.0 Å³ per atom

Cell lengths 4.277, 8.937, 8.937 Å; angles 70.62, 76.16, 76.16 degrees
Sites, in units of the cell vectors:
Ga: 0.344 0.373 0.938
Ga: 0.839 0.785 0.536
Ga: 0.344 0.938 0.373
Cd: 0.500 0.000 0.000
Ga: 0.656 0.627 0.062
Ga: 0.161 0.215 0.464
Ga: 0.839 0.536 0.785
In: 0.500 0.500 0.500
In: 0.197 0.803 0.803
Cd: 0.000 0.206 0.794
In: 0.803 0.197 0.197
Ga: 0.161 0.464 0.215
Ga: 0.656 0.062 0.627
Cd: 0.000 0.794 0.206